An optimized crystal structure of Ti3GaSe, computed with PBE-GGA.

Cell lengths 4.337, 4.329, 10.801 Å; angles 90.00, 101.46, 90.00 degrees
Sites, in units of the cell vectors:
Ti 0.043 0.250 0.086
Ti 0.119 0.750 0.241
Ti 0.378 0.750 0.753
Ti 0.622 0.250 0.247
Ti 0.881 0.250 0.759
Ti 0.957 0.750 0.914
Ga 0.454 0.250 0.908
Ga 0.546 0.750 0.092
Se 0.183 0.250 0.369
Se 0.817 0.750 0.631

Calculated values
Its space group is P2_1/m, No. 11. The uncorrected formation energy is -0.478 eV/atom. Its relative energy among the computed polymorphs is 0 meV per atom.



An optimized crystal structure of Sn2OsRuPb, computed with PBE-GGA.

Cell lengths 5.598, 5.598, 5.042 Å; angles 90.00, 90.00, 90.00 degrees
Sites, in units of the cell vectors:
Sn 0.000 0.500 0.000
Sn 0.500 0.000 0.000
Os 0.000 0.000 0.500
Ru 0.500 0.500 0.500
Pb 0.000 0.000 0.000

Calculated values
For the final energy, the calculation gives -20.9 eV/cell. Its space group is P4/mmm, No. 123.



An optimized crystal structure of BaNp4Pd3S12, computed with PBE-GGA.

Cell lengths 8.455, 8.455, 8.455 Å; angles 109.47, 109.47, 109.47 degrees
Sites, in units of the cell vectors:
Ba 0.000 0.000 0.000
Np 0.000 0.000 0.500
Np 0.000 0.500 0.000
Np 0.500 0.000 0.000
Np 0.500 0.500 0.500
Pd 0.000 0.500 0.500
Pd 0.500 0.000 0.500
Pd 0.500 0.500 0.000
S 0.154 0.840 0.314
S 0.160 0.314 0.474
S 0.160 0.686 0.846
S 0.314 0.154 0.840
S 0.314 0.474 0.160
S 0.474 0.160 0.314
S 0.526 0.840 0.686
S 0.686 0.526 0.840
S 0.686 0.846 0.160
S 0.840 0.314 0.154
S 0.840 0.686 0.526
S 0.846 0.160 0.686

Calculated values
Its space group is Im-3, No. 204. The uncorrected formation energy is -0.981 eV/atom.



An optimized crystal structure of Li3Sb2Cl8, computed with PBE-GGA.

Cell lengths 7.454, 7.454, 6.244 Å; angles 92.86, 92.86, 71.72 degrees
Sites, in units of the cell vectors:
Li 0.000 0.000 0.000
Li 0.189 0.811 0.500
Li 0.811 0.189 0.500
Sb 0.303 0.303 0.044
Sb 0.697 0.697 0.956
Cl 0.079 0.647 0.172
Cl 0.112 0.112 0.327
Cl 0.353 0.921 0.828
Cl 0.417 0.417 0.729
Cl 0.583 0.583 0.271
Cl 0.647 0.079 0.172
Cl 0.888 0.888 0.673
Cl 0.921 0.353 0.828

Calculated values
Its space group is C2/m, No. 12. The uncorrected formation energy is -1.157 eV/atom.



An optimized crystal structure of Nb3S, computed with PBE-GGA.

Cell lengths 5.530, 3.299, 7.595 Å; angles 90.00, 99.07, 90.00 degrees
Sites, in units of the cell vectors:
Nb 0.076 0.250 0.351
Nb 0.247 0.250 0.952
Nb 0.402 0.750 0.645
Nb 0.598 0.250 0.355
Nb 0.753 0.750 0.048
Nb 0.924 0.750 0.649
S 0.300 0.750 0.191
S 0.700 0.250 0.809

Calculated values
Its space group is P2_1/m, No. 11. The uncorrected formation energy is -0.359 eV/atom.



An optimized crystal structure of TbCe2Ho3Bi6, computed with PBE-GGA.

Cell lengths 10.085, 10.085, 9.022 Å; angles 102.82, 102.82, 25.91 degrees
Sites, in units of the cell vectors:
Tb 0.000 0.000 0.000
Ce 0.334 0.334 0.668
Ce 0.666 0.666 0.332
Ho 0.000 0.000 0.500
Ho 0.333 0.333 0.166
Ho 0.667 0.667 0.834
Bi 0.165 0.165 0.588
Bi 0.167 0.167 0.078
Bi 0.498 0.498 0.250
Bi 0.502 0.502 0.750
Bi 0.833 0.833 0.922
Bi 0.835 0.835 0.412

Calculated values
For the final energy, the calculation gives -63.5 eV/cell. Its space group is C2/m, No. 12.